The following is a PBE calculation of a relaxed structure of Tb6Pm2Er3Sc, from Alexandria.

Cell: 6.1245 10.6032 11.7340 Å, 90.00 99.98 90.00°
Space group C2/m (No. 12)
One atom of each set of equivalent atoms:
Tb  0.2469  0.0000  0.2488 (multiplicity 4)
Tb  0.2486  0.1651  0.7508 (multiplicity 8)
Pm  0.0000  0.3335  0.5000 (multiplicity 4)
Er  0.0000  0.1662  0.0000 (multiplicity 4)
Er  0.0000  0.5000  0.0000 (multiplicity 2)
Sc  0.0000  0.0000  0.5000 (multiplicity 2)

Output
- total DFT energy (no corrections) (eV/atom) = -4.7502
- spin magnetization (μB per formula unit) = 0.0
- formation energy (eV/atom) = 0.03